[1]
DFT (PBE) results for an optimized crystal structure of LiC4.

Values from the calculation:
Energy of formation in kcal/mol of atoms: 95.16
Magnetization in μB/f.u.: 0.000

Geometry as CIF:
```
data_LiC4
_space_group_name_H-M_alt 'P 1'
_space_group_IT_number 1
_cell_length_a 3.597
_cell_length_b 3.597
_cell_length_c 3.597
_cell_angle_alpha 90.00
_cell_angle_beta 90.00
_cell_angle_gamma 90.00
loop_
_space_group_symop_operation_xyz
'x,y,z'
loop_
_atom_site_label
_atom_site_type_symbol
_atom_site_fract_x
_atom_site_fract_y
_atom_site_fract_z
C1 C 0.000 0.000 0.000
C2 C 0.500 0.000 0.500
C3 C 0.000 0.500 0.500
C4 C 0.500 0.500 0.000
Li1 Li 0.500 0.500 0.500
```

***

[2]
DFT (PBE) results for an optimized crystal structure of Li12NdAg6.

Values from the calculation:
Energy of formation in kcal/mol of atoms: -1.45
Magnetization in μB/f.u.: 0.000

Geometry as CIF:
```
data_Li12NdAg6
_space_group_name_H-M_alt 'P 1'
_space_group_IT_number 1
_cell_length_a 7.372
_cell_length_b 7.372
_cell_length_c 7.372
_cell_angle_alpha 102.10
_cell_angle_beta 102.10
_cell_angle_gamma 102.10
loop_
_space_group_symop_operation_xyz
'x,y,z'
loop_
_atom_site_label
_atom_site_type_symbol
_atom_site_fract_x
_atom_site_fract_y
_atom_site_fract_z
Li1 Li 0.890 0.110 0.500
Li2 Li 0.832 0.560 0.560
Li3 Li 0.560 0.560 0.832
Li4 Li 0.440 0.168 0.440
Li5 Li 0.440 0.440 0.168
Li6 Li 0.168 0.440 0.440
Li7 Li 0.110 0.500 0.890
Li8 Li 0.500 0.890 0.110
Li9 Li 0.110 0.890 0.500
Li10 Li 0.890 0.500 0.110
Li11 Li 0.500 0.110 0.890
Li12 Li 0.560 0.832 0.560
Nd1 Nd 0.000 0.000 0.000
Ag1 Ag 0.734 0.239 0.239
Ag2 Ag 0.239 0.239 0.734
Ag3 Ag 0.239 0.734 0.239
Ag4 Ag 0.761 0.761 0.266
Ag5 Ag 0.266 0.761 0.761
Ag6 Ag 0.761 0.266 0.761
```

***

[3]
DFT (PBE) results for an optimized crystal structure of Pr3TmO.

Values from the calculation:
Magnetization in μB/f.u.: 0.000
Raw formation energy in eV/atom: -1.098

Geometry as CIF:
```
data_Pr3TmO
_space_group_name_H-M_alt 'P 1'
_space_group_IT_number 1
_cell_length_a 5.124
_cell_length_b 5.124
_cell_length_c 5.124
_cell_angle_alpha 90.00
_cell_angle_beta 90.00
_cell_angle_gamma 90.00
loop_
_space_group_symop_operation_xyz
'x,y,z'
loop_
_atom_site_label
_atom_site_type_symbol
_atom_site_fract_x
_atom_site_fract_y
_atom_site_fract_z
Pr1 Pr 0.000 0.500 0.000
Pr2 Pr 0.000 0.000 0.500
Pr3 Pr 0.500 0.000 0.000
Tm1 Tm 0.500 0.500 0.500
O1 O 0.000 0.000 0.000
```

***

[4]
DFT (PBE) results for an optimized crystal structure of CdMoOs2.

Values from the calculation:
Energy of formation in kcal/mol of atoms: 21.56
Magnetization in μB/f.u.: 0.000

Geometry as CIF:
```
data_CdMoOs2
_space_group_name_H-M_alt 'P 1'
_space_group_IT_number 1
_cell_length_a 7.340
_cell_length_b 7.340
_cell_length_c 5.855
_cell_angle_alpha 51.19
_cell_angle_beta 51.19
_cell_angle_gamma 90.00
loop_
_space_group_symop_operation_xyz
'x,y,z'
loop_
_atom_site_label
_atom_site_type_symbol
_atom_site_fract_x
_atom_site_fract_y
_atom_site_fract_z
Mo1 Mo 0.500 0.500 0.000
Mo2 Mo 0.250 0.750 0.500
Os1 Os 0.576 0.125 0.250
Os2 Os 0.174 0.625 0.250
Os3 Os 0.375 0.424 0.750
Os4 Os 0.875 0.826 0.750
Cd1 Cd 0.000 0.000 0.000
Cd2 Cd 0.750 0.250 0.500
```

***

[5]
DFT (PBE) results for an optimized crystal structure of LiZr2Al.

Values from the calculation:
Energy of formation in kcal/mol of atoms: -0.70
Magnetization in μB/f.u.: 0.000

Geometry as CIF:
```
data_LiZr2Al
_space_group_name_H-M_alt 'P 1'
_space_group_IT_number 1
_cell_length_a 3.102
_cell_length_b 4.223
_cell_length_c 6.158
_cell_angle_alpha 90.00
_cell_angle_beta 90.00
_cell_angle_gamma 90.00
loop_
_space_group_symop_operation_xyz
'x,y,z'
loop_
_atom_site_label
_atom_site_type_symbol
_atom_site_fract_x
_atom_site_fract_y
_atom_site_fract_z
Al1 Al 0.000 0.000 0.498
Li1 Li 0.500 0.500 0.735
Zr1 Zr 0.000 0.000 0.002
Zr2 Zr 0.500 0.500 0.265
```

***

[6]
DFT (PBE) results for an optimized crystal structure of PmCd5Ag.

Values from the calculation:
Energy of formation in kcal/mol of atoms: -4.18
Magnetization in μB/f.u.: 0.000

Geometry as CIF:
```
data_PmCd5Ag
_space_group_name_H-M_alt 'P 1'
_space_group_IT_number 1
_cell_length_a 4.806
_cell_length_b 4.806
_cell_length_c 7.434
_cell_angle_alpha 90.00
_cell_angle_beta 90.00
_cell_angle_gamma 90.00
loop_
_space_group_symop_operation_xyz
'x,y,z'
loop_
_atom_site_label
_atom_site_type_symbol
_atom_site_fract_x
_atom_site_fract_y
_atom_site_fract_z
Pm1 Pm 0.000 0.000 0.000
Cd1 Cd 0.500 0.000 0.710
Cd2 Cd 0.000 0.500 0.710
Cd3 Cd 0.500 0.500 0.000
Cd4 Cd 0.000 0.500 0.290
Cd5 Cd 0.500 0.000 0.290
Ag1 Ag 0.000 0.000 0.500
```

***

[7]
DFT (PBE) results for an optimized crystal structure of KGa2Tc2.

Values from the calculation:
Energy of formation in kcal/mol of atoms: 7.22
Magnetization in μB/f.u.: 0.000

Geometry as CIF:
```
data_KGa2Tc2
_space_group_name_H-M_alt 'P 1'
_space_group_IT_number 1
_cell_length_a 3.839
_cell_length_b 3.839
_cell_length_c 7.080
_cell_angle_alpha 74.27
_cell_angle_beta 74.27
_cell_angle_gamma 90.00
loop_
_space_group_symop_operation_xyz
'x,y,z'
loop_
_atom_site_label
_atom_site_type_symbol
_atom_site_fract_x
_atom_site_fract_y
_atom_site_fract_z
K1 K 0.000 0.000 0.000
Tc1 Tc 0.750 0.250 0.500
Tc2 Tc 0.250 0.750 0.500
Ga1 Ga 0.388 0.388 0.224
Ga2 Ga 0.612 0.612 0.776
```

***

[8]
DFT (PBE) results for an optimized crystal structure of ThVSi.

Values from the calculation:
Magnetization in μB/f.u.: 0.000
Raw formation energy in eV/atom: -0.333

Geometry as CIF:
```
data_ThVSi
_space_group_name_H-M_alt 'P 1'
_space_group_IT_number 1
_cell_length_a 6.310
_cell_length_b 5.727
_cell_length_c 7.735
_cell_angle_alpha 90.00
_cell_angle_beta 117.92
_cell_angle_gamma 90.00
loop_
_space_group_symop_operation_xyz
'x,y,z'
loop_
_atom_site_label
_atom_site_type_symbol
_atom_site_fract_x
_atom_site_fract_y
_atom_site_fract_z
V1 V 0.619 0.397 0.192
V2 V 0.381 0.603 0.808
V3 V 0.119 0.103 0.692
V4 V 0.881 0.897 0.308
Si1 Si 0.184 0.369 0.968
Si2 Si 0.816 0.631 0.032
Si3 Si 0.316 0.869 0.532
Si4 Si 0.684 0.131 0.468
Th1 Th 0.301 0.866 0.119
Th2 Th 0.801 0.634 0.619
Th3 Th 0.699 0.134 0.881
Th4 Th 0.199 0.366 0.381
```

***

Number 1: mass density 2.0 g cm⁻³. Number 2: mass density 3.9 g cm⁻³. Number 3: mass density 7.5 g cm⁻³. Number 4: mass density 13.4 g cm⁻³. Number 5: mass density 4.5 g cm⁻³. Number 6: mass density 7.9 g cm⁻³. Number 7: mass density 6.5 g cm⁻³. Number 8: mass density 8.4 g cm⁻³.